VASP calculation (PBE+U) on a geometry-optimized CrCoN2F structure.

Computed properties:
The value obtained for the total magnetic moment is 4.28 μB per cell. As for the excess energy over the best structure of this formula in the dataset: 108 meV/atom. The density of states at the Fermi level is 2.2 states/eV/f.u. The calculation puts the total energy at -5.78 eV per atom.

Lattice parameters (Å, degrees): 3.7297 3.7297 3.8565 90.00 90.00 90.00
Space group P4/mmm (No. 123)
Unique sites:
Cr (0.0000, 0.0000, 0.0000)
Co (0.5000, 0.5000, 0.5000)
N (0.0000, 0.5000, 0.5000)
F (0.5000, 0.5000, 0.0000)